1.
Tl2HgPd | PBE | relaxed

The structure in CIF format:
```
data_Tl2HgPd
_space_group_name_H-M_alt 'F m -3 m'
_space_group_IT_number 225
_space_group_name_Hall '-F 4 2 3'
_cell_length_a 7.2631
_cell_length_b 7.2631
_cell_length_c 7.2631
_cell_angle_alpha 90.00
_cell_angle_beta 90.00
_cell_angle_gamma 90.00
loop_
_atom_site_label
_atom_site_fract_x
_atom_site_fract_y
_atom_site_fract_z
_atom_site_occupancy
Tl1 0.2500 0.2500 0.2500 1
Hg1 0.0000 0.0000 0.0000 1
Pd1 0.0000 0.0000 0.5000 1
```

Calculated values
* excess energy over the best structure of this formula in the dataset: 0.112 eV per atom
* formation energy from the elements: 1.16 kcal/mol of atoms
* electronic total energy: -40.11 eV per cell
* D(E_F): 0.3277 states/eV/atom
* crystal system: cubic

2.
Tb5Nd6In | PBE | relaxed

The structure in CIF format:
```
data_Tb5Nd6In
_space_group_name_H-M_alt 'I m m m'
_space_group_IT_number 71
_space_group_name_Hall '-I 2 2'
_cell_length_a 5.0499
_cell_length_b 10.0790
_cell_length_c 15.3609
_cell_angle_alpha 90.00
_cell_angle_beta 90.00
_cell_angle_gamma 90.00
loop_
_atom_site_label
_atom_site_fract_x
_atom_site_fract_y
_atom_site_fract_z
_atom_site_occupancy
Tb1 0.0000 0.0000 0.0000 1
Tb2 0.0000 0.0000 0.3326 1
Tb3 0.0000 0.5000 0.3358 1
Nd1 0.0000 0.2443 0.5000 1
Nd2 0.0000 0.2549 0.1649 1
In1 0.0000 0.5000 0.0000 1
```

Calculated values
* formation energy from the elements: -1.37 kcal/mol of atoms
* electronic total energy: -110.41 eV per cell
* D(E_F): 1.2926 states/eV/atom
* crystal system: orthorhombic

3.
PmHfZnIr | PBE | relaxed

The structure in CIF format:
```
data_PmHfZnIr
_space_group_name_H-M_alt 'F -4 3 m'
_space_group_IT_number 216
_space_group_name_Hall 'F -4 2 3'
_cell_length_a 6.8668
_cell_length_b 6.8668
_cell_length_c 6.8668
_cell_angle_alpha 90.00
_cell_angle_beta 90.00
_cell_angle_gamma 90.00
loop_
_atom_site_label
_atom_site_fract_x
_atom_site_fract_y
_atom_site_fract_z
_atom_site_occupancy
Pm1 0.0000 0.0000 0.0000 1
Hf1 0.0000 0.0000 0.5000 1
Zn1 0.2500 0.2500 0.7500 1
Ir1 0.2500 0.2500 0.2500 1
```

Calculated values
* formation energy from the elements: -9.00 kcal/mol of atoms
* electronic total energy: -105.60 eV per cell
* D(E_F): 0.8814 states/eV/atom
* crystal system: cubic